# 1
Entry from Alexandria via LeMat-Bulk: an optimized crystal structure of PaFe4P12 (PBE).

Cell: 6.732 6.732 6.732 Å, 109.47 109.47 109.47°
Fractional positions:
P 0.350 0.198 0.849
P 0.849 0.350 0.198
P 0.650 0.499 0.849
P 0.499 0.849 0.650
P 0.151 0.650 0.802
P 0.802 0.151 0.650
P 0.151 0.350 0.501
P 0.350 0.501 0.151
P 0.198 0.849 0.350
P 0.650 0.802 0.151
P 0.849 0.650 0.499
P 0.501 0.151 0.350
Fe 0.000 0.000 0.500
Fe 0.500 0.500 0.500
Fe 0.000 0.500 0.000
Fe 0.500 0.000 0.000
Pa 0.000 0.000 0.000

Results
- E: -6.98 eV/atom

***

# 2
Entry from Alexandria via LeMat-Bulk: an optimized crystal structure of PmPr2Dy4Er (PBE).

Cell: 5.105 5.083 11.321 Å, 63.29 90.00 90.00°
Fractional positions:
Pr 0.500 0.000 0.500
Pr 0.000 0.000 0.000
Dy 0.000 0.247 0.252
Dy 0.500 0.748 0.252
Dy 0.000 0.753 0.748
Dy 0.500 0.252 0.748
Pm 0.500 0.500 0.000
Er 0.000 0.500 0.500

Results
- E: -4.64 eV/atom

***

no.,D(E_F) (states/eV/f.u.),energy relative to the elements (eV per atom)
1,8.16,-0.609
2,11.06,0.020